# 1
## Th2ZrPa (PBE)

Data for Th2ZrPa after structural relaxation.

Geometry as CIF:
```
data_Th2ZrPa
_chemical_formula_sum 'Th2 Zr1 Pa1'
_cell_length_a 5.389
_cell_length_b 5.389
_cell_length_c 5.389
_cell_angle_alpha 60.00
_cell_angle_beta 60.00
_cell_angle_gamma 60.00
_space_group_name_H-M_alt 'P 1'
_space_group_IT_number 1
_space_group_name_Hall 'P 1'
loop_
_atom_site_label
_atom_site_type_symbol
_atom_site_fract_x
_atom_site_fract_y
_atom_site_fract_z
Th1 Th 0.250 0.250 0.250
Th2 Th 0.750 0.750 0.750
Zr1 Zr 0.000 0.000 0.000
Pa1 Pa 0.500 0.500 0.500
```

Output
**Formation energy**: 72 kJ/mol of formula units
**Distance to the lowest polymorph of the same formula**: 81 meV/atom
**Space-group type**: No. 225
**Raw total energy**: -32.14 eV per cell


# 2
## Ac4MgPb2 (PBE)

Data for Ac4MgPb2 after structural relaxation.

Geometry as CIF:
```
data_Ac4MgPb2
_chemical_formula_sum 'Ac8 Mg2 Pb4'
_cell_length_a 7.363
_cell_length_b 10.818
_cell_length_c 6.702
_cell_angle_alpha 90.00
_cell_angle_beta 90.00
_cell_angle_gamma 90.00
_space_group_name_H-M_alt 'P 1'
_space_group_IT_number 1
_space_group_name_Hall 'P 1'
loop_
_atom_site_label
_atom_site_type_symbol
_atom_site_fract_x
_atom_site_fract_y
_atom_site_fract_z
Ac1 Ac 0.004 0.250 0.104
Ac2 Ac 0.250 0.565 0.344
Ac3 Ac 0.250 0.935 0.344
Ac4 Ac 0.496 0.250 0.104
Ac5 Ac 0.504 0.750 0.896
Ac6 Ac 0.750 0.065 0.656
Ac7 Ac 0.750 0.435 0.656
Ac8 Ac 0.996 0.750 0.896
Mg1 Mg 0.250 0.250 0.578
Mg2 Mg 0.750 0.750 0.422
Pb1 Pb 0.250 0.024 0.830
Pb2 Pb 0.250 0.476 0.830
Pb3 Pb 0.750 0.524 0.170
Pb4 Pb 0.750 0.976 0.170
```

Output
**Formation energy**: -211 kJ/mol of formula units
**Space-group type**: No. 59
**Raw total energy**: -55.26 eV per cell


# 3
## Pm6HgP2Se3 (PBE)

Data for Pm6HgP2Se3 after structural relaxation.

Geometry as CIF:
```
data_Pm6HgP2Se3
_chemical_formula_sum 'Pm6 Hg1 P2 Se3'
_cell_length_a 9.414
_cell_length_b 9.414
_cell_length_c 8.542
_cell_angle_alpha 102.92
_cell_angle_beta 102.92
_cell_angle_gamma 25.56
_space_group_name_H-M_alt 'P 1'
_space_group_IT_number 1
_space_group_name_Hall 'P 1'
loop_
_atom_site_label
_atom_site_type_symbol
_atom_site_fract_x
_atom_site_fract_y
_atom_site_fract_z
Pm1 Pm 0.006 0.006 0.265
Pm2 Pm 0.329 0.329 0.427
Pm3 Pm 0.329 0.329 0.899
Pm4 Pm 0.671 0.671 0.101
Pm5 Pm 0.671 0.671 0.573
Pm6 Pm 0.994 0.994 0.735
Hg1 Hg 0.500 0.500 0.000
P1 P 0.168 0.168 0.336
P2 P 0.832 0.832 0.664
Se1 Se 0.166 0.166 0.833
Se2 Se 0.500 0.500 0.500
Se3 Se 0.834 0.834 0.167
```

Output
**Space-group type**: No. 12
**Raw total energy**: -68.56 eV per cell
**Formation energy from raw total energies**: -1.540 eV per atom


# 4
## NaCa2Np3N6 (PBE)

Data for NaCa2Np3N6 after structural relaxation.

Geometry as CIF:
```
data_NaCa2Np3N6
_chemical_formula_sum 'Na1 Ca2 Np3 N6'
_cell_length_a 7.763
_cell_length_b 7.763
_cell_length_c 6.966
_cell_angle_alpha 102.67
_cell_angle_beta 102.67
_cell_angle_gamma 25.99
_space_group_name_H-M_alt 'P 1'
_space_group_IT_number 1
_space_group_name_Hall 'P 1'
loop_
_atom_site_label
_atom_site_type_symbol
_atom_site_fract_x
_atom_site_fract_y
_atom_site_fract_z
Na1 Na 0.000 0.000 0.000
Ca1 Ca 0.335 0.335 0.670
Ca2 Ca 0.665 0.665 0.330
Np1 Np 0.000 0.000 0.500
Np2 Np 0.335 0.335 0.164
Np3 Np 0.665 0.665 0.836
N1 N 0.159 0.159 0.605
N2 N 0.181 0.181 0.066
N3 N 0.491 0.491 0.290
N4 N 0.509 0.509 0.710
N5 N 0.819 0.819 0.934
N6 N 0.841 0.841 0.395
```

Output
**Space-group type**: No. 12
**Raw total energy**: -106.80 eV per cell
**Formation energy from raw total energies**: -1.059 eV per atom